Arrangement P

The following is a DFT calculation (PBEsol) of a geometry-optimized Hf3GeBi structure.

Output
N(E_F): 5.362 states/eV/cell
SG: Pm-3m

Cell: 4.946 4.946 4.946 Å, 90.00 90.00 90.00°
Positions (direct):
Hf 0.000 0.000 0.500
Hf 0.000 0.500 0.000
Hf 0.500 0.000 0.000
Ge 0.000 0.000 0.000
Bi 0.500 0.500 0.500



Arrangement Q

The following is a DFT calculation (PBEsol) of a geometry-optimized Hf3GeBi structure.

Output
N(E_F): 7.204 states/eV/cell
SG: Pm-3m

Cell: 5.268 5.268 5.268 Å, 90.00 90.00 90.00°
Positions (direct):
Hf 0.000 0.000 0.500
Hf 0.000 0.500 0.000
Hf 0.500 0.000 0.000
Ge 0.500 0.500 0.500
Bi 0.000 0.000 0.000



Short version: arrangement P is the most stable of them.



Arrangement P

The following is a DFT calculation (PBEsol) of a geometry-optimized In3GeBi structure.

Output
N(E_F): 1.038 states/eV/cell
SG: Pm-3m

Cell: 5.245 5.245 5.245 Å, 90.00 90.00 90.00°
Positions (direct):
In 0.000 0.000 0.500
In 0.000 0.500 0.000
In 0.500 0.000 0.000
Ge 0.000 0.000 0.000
Bi 0.500 0.500 0.500



Arrangement Q

The following is a DFT calculation (PBEsol) of a geometry-optimized In3GeBi structure.

Output
N(E_F): 5.092 states/eV/cell
SG: Pm-3m

Cell: 5.761 5.761 5.761 Å, 90.00 90.00 90.00°
Positions (direct):
In 0.000 0.000 0.500
In 0.000 0.500 0.000
In 0.500 0.000 0.000
Ge 0.500 0.500 0.500
Bi 0.000 0.000 0.000



Short version: arrangement P is the most stable of them.



Arrangement P

The following is a DFT calculation (PBEsol) of a geometry-optimized Li3BiH structure.

Output
N(E_F): 1.594 states/eV/cell
SG: Pm-3m

Cell: 5.334 5.334 5.334 Å, 90.00 90.00 90.00°
Positions (direct):
Li 0.000 0.000 0.500
Li 0.000 0.500 0.000
Li 0.500 0.000 0.000
Bi 0.000 0.000 0.000
H 0.500 0.500 0.500



Arrangement Q

The following is a DFT calculation (PBEsol) of a geometry-optimized Li3BiH structure.

Output
N(E_F): 1.758 states/eV/cell
SG: Pm-3m

Cell: 4.203 4.203 4.203 Å, 90.00 90.00 90.00°
Positions (direct):
Li 0.000 0.000 0.500
Li 0.000 0.500 0.000
Li 0.500 0.000 0.000
Bi 0.500 0.500 0.500
H 0.000 0.000 0.000



Short version: arrangement Q is the most stable of them.



Arrangement P

The following is a DFT calculation (PBEsol) of a geometry-optimized Bi2HPt structure.

Output
N(E_F): 6.597 states/eV/cell
SG: Fm-3m

Cell: 6.697 6.697 6.697 Å, 90.00 90.00 90.00°
Positions (direct):
Bi 0.250 0.250 0.250
Bi 0.250 0.250 0.750
Bi 0.250 0.750 0.250
Bi 0.250 0.750 0.750
Bi 0.750 0.250 0.250
Bi 0.750 0.250 0.750
Bi 0.750 0.750 0.250
Bi 0.750 0.750 0.750
H 0.000 0.000 0.000
H 0.000 0.500 0.500
H 0.500 0.000 0.500
H 0.500 0.500 0.000
Pt 0.000 0.000 0.500
Pt 0.000 0.500 0.000
Pt 0.500 0.000 0.000
Pt 0.500 0.500 0.500



Arrangement Q

The following is a DFT calculation (PBEsol) of a geometry-optimized Bi2HPt structure.

Output
N(E_F): 6.951 states/eV/cell
SG: I-42d

Cell: 6.790 6.790 6.827 Å, 90.00 90.00 90.00°
Positions (direct):
Bi 0.202 0.250 0.125
Bi 0.250 0.702 0.375
Bi 0.250 0.798 0.875
Bi 0.298 0.250 0.625
Bi 0.702 0.750 0.625
Bi 0.750 0.202 0.875
Bi 0.750 0.298 0.375
Bi 0.798 0.750 0.125
H 0.000 0.000 0.000
H 0.000 0.500 0.250
H 0.500 0.000 0.750
H 0.500 0.500 0.500
Pt 0.000 0.000 0.500
Pt 0.000 0.500 0.750
Pt 0.500 0.000 0.250
Pt 0.500 0.500 0.000



Short version: arrangement P is the most stable of them.